# 1
KSmVCl6 PBE relaxed; magnetic moment = 0.33 μB per atom; crystal system = trigonal; symmetry = P-31c, No. 163; E_form (uncorrected) = -1.844 eV per atom
1.0
-6.0458 -0.0503 2.9592
3.3013 -5.7787 -1.0094
6.1719 1.3195 12.6319
Sm Cl V K
2 12 2 2
direct
0.6667 0.3333 0.2500 Sm
0.3333 0.6667 0.7500 Sm
0.9753 0.6237 0.8549 Cl
0.6484 0.0247 0.8549 Cl
0.6237 0.6484 0.1451 Cl
0.0247 0.6484 0.3549 Cl
0.9753 0.3516 0.6451 Cl
0.0247 0.3763 0.1451 Cl
0.3763 0.3516 0.8549 Cl
0.6237 0.9753 0.3549 Cl
0.6484 0.6237 0.6451 Cl
0.3763 0.0247 0.6451 Cl
0.3516 0.9753 0.1451 Cl
0.3516 0.3763 0.3549 Cl
0.6667 0.3333 0.7500 V
0.3333 0.6667 0.2500 V
0.0000 0.0000 0.0000 K
0.0000 0.0000 0.5000 K

# 2
KSmZnCl6 PBE relaxed; magnetic moment = 0.00 μB per atom; crystal system = trigonal; symmetry = P-31c, No. 163; E_form (uncorrected) = -1.816 eV per atom
1.0
-3.8992 -0.4538 5.5620
6.5511 -1.8307 0.2770
3.4709 12.9485 3.4897
Cl Sm K Zn
12 2 2 2
direct
0.3832 0.3596 0.3568 Cl
0.3596 0.3832 0.8568 Cl
0.6168 0.6404 0.6432 Cl
0.9764 0.3596 0.1432 Cl
0.3832 0.0236 0.1432 Cl
0.6404 0.0236 0.3568 Cl
0.0236 0.3832 0.6432 Cl
0.0236 0.6404 0.8568 Cl
0.6404 0.6168 0.1432 Cl
0.9764 0.6168 0.3568 Cl
0.3596 0.9764 0.6432 Cl
0.6168 0.9764 0.8568 Cl
0.6667 0.3333 0.7500 Sm
0.3333 0.6667 0.2500 Sm
0.0000 0.0000 0.0000 K
0.0000 0.0000 0.5000 K
0.6667 0.3333 0.2500 Zn
0.3333 0.6667 0.7500 Zn